a.
Compound: Hf3Sc3Bi2Os
Source: OQMD via LeMat-Bulk
Functional: GGA-PBE
Structure: relaxed

```
Hf3Sc3Bi2Os
1.0
7.793 0.000 0.000
-3.897 6.749 0.000
0.000 0.000 3.831
Bi Hf Os Sc
2 3 1 3
Direct
0.667 0.333 0.500
0.333 0.667 0.500
0.624 0.000 0.000
0.376 0.376 0.000
0.000 0.624 0.000
0.000 0.000 0.000
0.241 0.000 0.500
0.000 0.241 0.500
0.759 0.759 0.500
```

## Properties
Total moment (Bohr magnetons per cell): 0.1


b.
Compound: Hf3Sc3Bi2Os
Source: OQMD via LeMat-Bulk
Functional: GGA-PBE
Structure: relaxed

```
Hf3Sc3Bi2Os
1.0
-5.398 5.598 -1.299
0.602 -6.117 -4.937
-2.537 -1.956 2.114
Bi Hf Os Sc
2 3 1 3
Direct
0.667 0.333 0.500
0.333 0.667 0.500
0.237 0.000 0.500
0.000 0.237 0.500
0.763 0.763 0.500
0.000 0.000 0.000
0.615 0.000 0.000
0.385 0.385 0.000
0.000 0.615 0.000
```

## Properties
Total moment (Bohr magnetons per cell): 0.1


Which structure is the most stable? The one labeled b.


a.
Compound: Tm3Hf3Bi2Os
Source: OQMD via LeMat-Bulk
Functional: GGA-PBE
Structure: relaxed

```
Tm3Hf3Bi2Os
1.0
7.977 0.000 0.000
-3.988 6.908 0.000
0.000 0.000 4.051
Bi Hf Os Tm
2 3 1 3
Direct
0.667 0.333 0.500
0.333 0.667 0.500
0.227 0.000 0.500
0.000 0.227 0.500
0.773 0.773 0.500
0.000 0.000 0.000
0.611 0.000 0.000
0.389 0.389 0.000
0.000 0.611 0.000
```

## Properties
Total moment (Bohr magnetons per cell): 0.0


b.
Compound: Tm3Hf3Bi2Os
Source: OQMD via LeMat-Bulk
Functional: GGA-PBE
Structure: relaxed

```
Tm3Hf3Bi2Os
1.0
8.082 0.000 0.000
-4.041 6.999 0.000
0.000 0.000 3.860
Bi Hf Os Tm
2 3 1 3
Direct
0.667 0.333 0.500
0.333 0.667 0.500
0.626 0.000 0.000
0.374 0.374 0.000
0.000 0.626 0.000
0.000 0.000 0.000
0.247 0.000 0.500
0.000 0.247 0.500
0.753 0.753 0.500
```

## Properties
Total moment (Bohr magnetons per cell): 0.0


Which structure is the most stable? The one labeled a.


a.
Compound: HfPaBi
Source: OQMD via LeMat-Bulk
Functional: GGA-PBE
Structure: relaxed

```
HfPaBi
1.0
0.000 3.656 3.656
3.656 0.000 3.656
3.656 3.656 0.000
Bi Hf Pa
1 1 1
Direct
0.250 0.250 0.250
0.750 0.750 0.750
0.000 0.000 0.000
```

## Properties
Total moment (Bohr magnetons per cell): 3.5


b.
Compound: HfPaBi
Source: OQMD via LeMat-Bulk
Functional: GGA-PBE
Structure: relaxed

```
HfPaBi
1.0
-0.723 -3.782 3.087
-3.984 -2.870 -0.503
0.487 -4.637 -1.621
Bi Hf Pa
1 1 1
Direct
0.250 0.250 0.250
0.000 0.000 0.000
0.750 0.750 0.750
```

## Properties
Total moment (Bohr magnetons per cell): 0.0


Which structure is the most stable? The one labeled b.


a.
Compound: PmHfBi
Source: OQMD via LeMat-Bulk
Functional: GGA-PBE
Structure: relaxed

```
PmHfBi
1.0
-2.482 -3.874 2.498
-4.874 -1.313 -1.392
-0.891 -4.544 -2.445
Bi Hf Pm
1 1 1
Direct
0.500 0.500 0.500
0.000 0.000 0.000
0.250 0.250 0.250
```

## Properties
Total moment (Bohr magnetons per cell): 2.4


b.
Compound: PmHfBi
Source: OQMD via LeMat-Bulk
Functional: GGA-PBE
Structure: relaxed

```
PmHfBi
1.0
-5.048 -0.039 -0.048
-2.555 4.345 -0.282
-2.493 1.193 -4.225
Bi Hf Pm
1 1 1
Direct
0.000 0.000 0.000
0.250 0.250 0.250
0.750 0.750 0.750
```

## Properties
Total moment (Bohr magnetons per cell): 0.2


Which structure is the most stable? The one labeled b.


a.
Compound: Hf3Bi4Pt4
Source: OQMD via LeMat-Bulk
Functional: GGA-PBE
Structure: relaxed

```
Hf3Bi4Pt4
1.0
7.431 0.000 -0.064
0.000 4.429 0.000
-0.114 0.000 7.565
Bi Hf Pt
4 3 4
Direct
0.819 0.250 0.372
0.182 0.750 0.621
0.771 0.750 0.955
0.149 0.250 0.990
0.084 0.750 0.249
0.507 0.750 0.304
0.520 0.250 0.698
0.559 0.250 0.090
0.302 0.250 0.392
0.726 0.750 0.588
0.379 0.750 0.940
```

## Properties
Total moment (Bohr magnetons per cell): 0.0


b.
Compound: Hf3Bi4Pt4
Source: OQMD via LeMat-Bulk
Functional: GGA-PBE
Structure: relaxed

```
Hf3Bi4Pt4
1.0
0.000 6.535 0.000
-6.535 0.000 0.000
-3.267 3.267 6.365
Bi Hf Pt
4 3 4
Direct
0.500 0.000 0.000
0.000 0.500 0.000
0.776 0.776 0.448
0.224 0.224 0.552
0.500 0.500 0.000
0.750 0.250 0.500
0.250 0.750 0.500
0.595 0.140 0.265
0.140 0.595 0.265
0.405 0.405 0.735
0.860 0.860 0.735
```

## Properties
Total moment (Bohr magnetons per cell): 0.0


Which structure is the most stable? The one labeled b.


a.
Compound: Hf3Zr3Bi2Pt
Source: OQMD via LeMat-Bulk
Functional: GGA-PBE
Structure: relaxed

```
Hf3Zr3Bi2Pt
1.0
7.939 0.000 0.000
-3.969 6.875 0.000
0.000 0.000 3.717
Bi Hf Pt Zr
2 3 1 3
Direct
0.667 0.333 0.500
0.333 0.667 0.500
0.245 0.000 0.500
0.000 0.245 0.500
0.755 0.755 0.500
0.000 0.000 0.000
0.602 0.000 0.000
0.398 0.398 0.000
0.000 0.602 0.000
```

## Properties
Total moment (Bohr magnetons per cell): 0.0


b.
Compound: Hf3Zr3Bi2Pt
Source: OQMD via LeMat-Bulk
Functional: GGA-PBE
Structure: relaxed

```
Hf3Zr3Bi2Pt
1.0
7.967 0.000 0.000
-3.983 6.900 0.000
0.000 0.000 3.688
Bi Hf Pt Zr
2 3 1 3
Direct
0.667 0.333 0.500
0.333 0.667 0.500
0.606 0.000 0.000
0.394 0.394 0.000
0.000 0.606 0.000
0.000 0.000 0.000
0.251 0.000 0.500
0.000 0.251 0.500
0.749 0.749 0.500
```

## Properties
Total moment (Bohr magnetons per cell): 0.0


Which structure is the most stable? The one labeled a.